The following is a PBE-GGA calculation of a geometry-optimized DyGeP structure, from Alexandria.

Lattice parameters (Å, degrees): 3.8869 3.8869 20.5989 90.00 90.00 90.00
Closest atoms and distances in Å follow each position.
Space group I4/mmm (No. 139)
Symmetry-distinct sites (fractional):
Dy  0.0000  0.0000  0.1753 x4  5 P 2.77-2.78
Ge  0.0000  0.0000  0.4259 x4  1 P 2.39
P  0.0000  0.0000  0.3100 x4  1 Ge 2.39

Values from the calculation:
E_form (meV per atom): -633.1

=====

The following is a PBE-GGA calculation of a geometry-optimized Dy2GeP structure, from Alexandria.

Lattice parameters (Å, degrees): 3.8065 3.8065 27.1514 90.00 90.00 120.00
Closest atoms and distances in Å follow each position.
Space group R-3m (No. 166, hexagonal axes)
Symmetry-distinct sites (fractional):
Dy  0.0000  0.0000  0.1069 x6  3 P 2.73, 1 Ge 2.90
Ge  0.0000  0.0000  0.0000 x3  2 Dy 2.90
P  0.0000  0.0000  0.5000 x3  6 Dy 2.73

Values from the calculation:
Energy above the lowest structure with this stoichiometry (meV/atom): 669
E_form (meV per atom): -572.3

=====

The following is a PBE-GGA calculation of a geometry-optimized Dy4GeP3 structure, from Alexandria.

Lattice parameters (Å, degrees): 5.7130 5.7130 5.7130 90.00 90.00 90.00
Closest atoms and distances in Å follow each position.
Space group Pm-3m (No. 221)
Symmetry-distinct sites (fractional):
Dy  0.0000  0.0000  0.0000 x1  6 P 2.86
Dy  0.0000  0.5000  0.5000 x3  2 Ge 2.86, 4 P 2.86
Ge  0.5000  0.5000  0.5000 x1  6 Dy 2.86
P  0.0000  0.0000  0.5000 x3  6 Dy 2.86

Values from the calculation:
E_form (meV per atom): -1348.3

=====

The following is a PBE-GGA calculation of a geometry-optimized Dy2GeP structure, from Alexandria.

Lattice parameters (Å, degrees): 4.1491 22.2684 3.9701 90.00 90.00 90.00
Closest atoms and distances in Å follow each position.
Space group Cmcm (No. 63)
Symmetry-distinct sites (fractional):
Dy  0.0000  0.0669  0.2500 x4  1 P 2.70, 4 Ge 2.93
Dy  0.0000  0.3122  0.2500 x4  5 P 2.76-2.87
Ge  0.0000  0.4582  0.2500 x4  2 Ge 2.72, 4 Dy 2.93
P  0.0000  0.1882  0.2500 x4  6 Dy 2.70-2.87

Values from the calculation:
Energy above the lowest structure with this stoichiometry (meV/atom): 0
E_form (meV per atom): -1241.5

=====

The following is a PBE-GGA calculation of a geometry-optimized DyGeP2 structure, from Alexandria.

Lattice parameters (Å, degrees): 4.2710 4.2710 21.3230 90.00 90.00 120.00
Closest atoms and distances in Å follow each position.
Space group R-3m (No. 166, hexagonal axes)
Symmetry-distinct sites (fractional):
Dy  0.0000  0.0000  0.0000 x3  6 P 2.81
Ge  0.0000  0.0000  0.5000 x3  2 P 2.20
P  0.0000  0.0000  0.3970 x6  1 Ge 2.20

Values from the calculation:
E_form (meV per atom): -192.5

=====

The following is a PBE-GGA calculation of a geometry-optimized Dy2GePPd6 structure, from Alexandria.

Lattice parameters (Å, degrees): 5.5528 8.6489 7.9824 90.00 90.00 90.00
Closest atoms and distances in Å follow each position.
Space group Pmmn (No. 59, origin choice 2)
Symmetry-distinct sites (fractional):
Dy  0.2500  0.0126  0.2384 x4  9 Pd 2.99-3.25
Ge  0.2500  0.7500  0.7765 x2  6 Pd 2.44-2.56
P  0.2500  0.2500  0.7403 x2  6 Pd 2.32-2.41
Pd  0.0006  0.2500  0.4924 x4  1 P 2.41, 1 Ge 2.56
Pd  0.0023  0.2500  0.9739 x4  1 P 2.32, 1 Ge 2.44
Pd  0.2500  0.0020  0.6220 x4  1 P 2.34, 1 Ge 2.50

Values from the calculation:
E_form (meV per atom): -747.0

=====

The following is a PBE-GGA calculation of a geometry-optimized Dy2GePPt6 structure, from Alexandria.

Lattice parameters (Å, degrees): 5.5442 8.3918 8.3072 90.00 90.00 90.00
Closest atoms and distances in Å follow each position.
Space group Pmmn (No. 59, origin choice 2)
Symmetry-distinct sites (fractional):
Dy  0.2500  0.0076  0.2350 x4  9 Pt 3.01-3.26
Ge  0.2500  0.7500  0.7787 x2  6 Pt 2.46-2.62
P  0.2500  0.2500  0.7540 x2  4 Pt 2.31-2.32
Pt  0.0003  0.2500  0.9773 x4  1 P 2.31, 1 Ge 2.46
Pt  0.0011  0.2500  0.4886 x4  1 P 2.60, 1 Ge 2.62, 6 Pt 2.72-2.78
Pt  0.2500  0.0048  0.6239 x4  1 P 2.32, 1 Ge 2.50

Values from the calculation:
E_form (meV per atom): -892.5

=====

The following is a PBE-GGA calculation of a geometry-optimized Dy4GeP2S structure, from Alexandria.

Lattice parameters (Å, degrees): 6.9843 3.9920 6.9872 90.00 109.21 90.00
Closest atoms and distances in Å follow each position.
Space group P2/m (No. 10)
Symmetry-distinct sites (fractional):
Dy  0.2461  0.0000  0.2430 x2  3 P 2.81-2.83, 1 Ge 2.87, 2 S 2.87
Dy  0.2543  0.5000  0.7571 x2  3 P 2.81-2.83, 1 S 2.86, 2 Ge 2.88
Ge  0.0000  0.0000  0.5000 x1  6 Dy 2.87-2.88
P  0.0000  0.5000  0.0000 x1  6 Dy 2.81-2.83
P  0.5000  0.0000  0.0000 x1  6 Dy 2.81-2.83
S  0.5000  0.5000  0.5000 x1  6 Dy 2.86-2.87

Values from the calculation:
E_form (uncorrected) (meV/atom): -1550

=====

no.,raw total energy (Ha/atom),Fermi-level density of states (states/eV/f.u.)
1,-0.202,1.7
2,-0.198,3.4
3,-0.230,4.6
4,-0.222,1.4
5,-0.191,2.4
6,-0.213,3.4
7,-0.237,4.6
8,-0.231,1.5